# ThPt4Rh (PBE-GGA, relaxed)
# Energy of formation ... -662 meV per atom
# Total moment ... 3.63 μB per cell
# Total DFT energy (no corrections) ... -7.15 eV/atom
# D(E_F) ... 28.92 states/eV/cell
# Mass density ... 16927 kg/m3
data_ThPt4Rh
_chemical_formula_sum 'Th4 Pt16 Rh4'
_symmetry_space_group_name_H-M 'F -4 3 m'
_symmetry_Int_Tables_number 216
_symmetry_space_group_name_Hall 'F -4 2 3'
_cell_length_a 7.5923
_cell_length_b 7.5923
_cell_length_c 7.5923
_cell_angle_alpha 90.00
_cell_angle_beta 90.00
_cell_angle_gamma 90.00
loop_
_atom_site_label
_atom_site_type_symbol
_atom_site_fract_x
_atom_site_fract_y
_atom_site_fract_z
_atom_site_occupancy
Th1 Th 0.0000 0.0000 0.0000 1
Pt1 Pt 0.1241 0.1241 0.6241 1
Rh1 Rh 0.2500 0.2500 0.2500 1